Record 1
5
Lattice="5.924 0.000 0.000 0.000 5.924 0.000 0.000 0.000 5.552" Properties=species:S:1:pos:R:3 comment="TlIn2TeSe (GGA-PBE, relaxed)" crystal_system=tetragonal m_tot_mub_per_fu=0.0 energy_ev_per_atom=-2.67 pbc="T T T"
Tl 0.000 0.000 0.000
In 0.000 2.962 2.776
In 2.962 0.000 2.776
Te 2.962 2.962 2.776
Se 2.962 2.962 0.000

---

Record 2
5
Lattice="5.632 0.000 0.000 0.000 5.632 0.000 0.000 0.000 5.148" Properties=species:S:1:pos:R:3 comment="YInTe2Se (GGA-PBE, relaxed)" crystal_system=tetragonal m_tot_mub_per_fu=0.0 energy_ev_per_atom=-3.95 pbc="T T T"
Y 0.000 0.000 0.000
In 2.816 2.816 2.574
Te 0.000 2.816 2.574
Te 2.816 0.000 2.574
Se 2.816 2.816 0.000

---

Record 3
12
Lattice="9.413 -2.094 0.000 9.413 2.094 0.000 -2.197 0.000 8.479" Properties=species:S:1:pos:R:3 comment="Y6InTe3Se2 (GGA-PBE, relaxed)" crystal_system=monoclinic m_tot_mub_per_fu=0.0 energy_ev_per_atom=-6.15 pbc="T T T"
Y -0.422 0.000 2.108
Y 5.180 0.000 3.671
Y 4.342 0.000 7.615
Y 12.287 0.000 0.864
Y 11.449 0.000 4.809
Y 17.051 0.000 6.371
In 9.413 0.000 0.000
Te 1.306 0.000 7.040
Te 8.315 0.000 4.240
Te 15.324 0.000 1.440
Se 2.423 0.000 2.843
Se 14.207 0.000 5.636

---

Record 4
4
Lattice="4.272 0.000 0.000 -2.136 3.699 0.000 0.000 0.000 7.723" Properties=species:S:1:pos:R:3 comment="ZnInTeSe (GGA-PBE, relaxed)" crystal_system=trigonal m_tot_mub_per_fu=0.0 energy_ev_per_atom=-2.96 pbc="T T T"
Zn 0.000 0.000 0.000
In 0.000 0.000 2.690
Te 0.000 2.466 6.930
Se 2.136 1.233 3.880